Below is an optimized crystal structure of KP12Pd4, with properties calculated at the GGA-PBE level.

Geometry as CIF:
```
data_KP12Pd4
_cell_length_a 7.188
_cell_length_b 7.188
_cell_length_c 7.188
_cell_angle_alpha 109.47
_cell_angle_beta 109.47
_cell_angle_gamma 109.47
_symmetry_space_group_name_H-M 'P 1'
_symmetry_Int_Tables_number 1
loop_
_symmetry_equiv_pos_as_xyz
'x,y,z'
loop_
_atom_site_label
_atom_site_type_symbol
_atom_site_fract_x
_atom_site_fract_y
_atom_site_fract_z
_atom_site_occupancy
P1 P 0.367 0.502 0.135 1
P2 P 0.367 0.232 0.865 1
P3 P 0.865 0.633 0.498 1
P4 P 0.498 0.865 0.633 1
P5 P 0.135 0.367 0.502 1
P6 P 0.633 0.498 0.865 1
P7 P 0.768 0.135 0.633 1
P8 P 0.633 0.768 0.135 1
P9 P 0.865 0.367 0.232 1
P10 P 0.135 0.633 0.768 1
P11 P 0.502 0.135 0.367 1
P12 P 0.232 0.865 0.367 1
Pd1 Pd 0.500 0.500 0.500 1
Pd2 Pd 0.000 0.500 0.000 1
Pd3 Pd 0.000 0.000 0.500 1
Pd4 Pd 0.500 0.000 0.000 1
K1 K 0.000 0.000 0.000 1
```

Its space group is Im-3 (204). The value obtained for the formation energy is -299 meV/atom. As for the raw total energy: -91.87 eV/f.u.